DFT (GGA-PBE) results for a relaxed structure of BaZrAsIr2.

POSCAR file:
```
BaZrAsIr2
1.0
4.814 0.000 0.000
0.000 5.033 0.000
0.000 0.000 4.814
As Zr Ir Ba
1 1 2 1
Direct
0.000 0.000 0.000
0.000 0.500 0.000
0.500 0.000 0.000
0.000 0.000 0.500
0.500 0.500 0.500
```

Uncorrected energy = -31.3 eV/cell
Formation energy = 0.318 eV/atom



DFT (GGA-PBE) results for a relaxed structure of Dy2HoThP4.

POSCAR file:
```
Dy2HoThP4
1.0
4.046 0.000 0.000
0.000 6.991 -0.138
0.000 2.460 6.541
P Dy Ho Th
4 2 1 1
Direct
0.500 0.249 0.747
0.000 0.246 0.255
0.000 0.754 0.745
0.500 0.751 0.253
0.000 0.000 0.000
0.500 0.000 0.500
0.000 0.500 0.500
0.500 0.500 0.000
```

Uncorrected energy = -55.7 eV/cell
Formation energy = -1.613 eV/atom